Material: Ac3TmSn12
Method: DFT, GGA-PBE
State: optimized geometry

Lattice parameters (Å, degrees): 4.884 4.884 19.288 90.00 90.00 90.00
Fractional coordinates of all 16 atoms:
1 Ac 0.000 0.000 0.000
2 Ac 0.000 0.000 0.257
3 Ac 0.000 0.000 0.743
4 Tm 0.000 0.000 0.500
5 Sn 0.000 0.500 0.129
6 Sn 0.000 0.500 0.386
7 Sn 0.000 0.500 0.614
8 Sn 0.000 0.500 0.871
9 Sn 0.500 0.000 0.129
10 Sn 0.500 0.000 0.386
11 Sn 0.500 0.000 0.614
12 Sn 0.500 0.000 0.871
13 Sn 0.500 0.500 0.000
14 Sn 0.500 0.500 0.258
15 Sn 0.500 0.500 0.500
16 Sn 0.500 0.500 0.742

Calculated values
total moment = 0.00 μB/f.u.
formation energy from the elements = -7.606 eV per formula unit
N(E_F) = 7.8 states/eV/cell
space-group type = P4/mmm (123)
total energy = -4.53 eV/atom